A plane-wave DFT calculation with PBE was carried out for crystalline ThScCuPt at its relaxed geometry.

Calculated values
For the formation enthalpy at 0 K, the calculation gives -0.689 eV/atom. The value obtained for the total magnetization is 0.0 μB/cell. The space-group type is Amm2, No. 38. The distance to the lowest polymorph of the same formula is 0 kJ/mol of formula units. Its volume is 86 Å³/cell.

a = 3.6595 Å, b = 4.4615 Å, c = 5.5485 Å
α = 90.00°, β = 109.26°, γ = 90.00°
Closest atoms and distances in Å follow each position.
Positions (direct):
Pt 0.5824 0.5000 0.1648  2 Cu 2.79, 3 Th 2.88-2.99, 4 Sc 2.94
Th 0.8570 0.5000 0.7139  3 Pt 2.88-2.99, 4 Cu 2.96
Cu 0.4220 0.0000 0.8440  2 Pt 2.79, 3 Sc 2.91-2.97, 4 Th 2.96
Sc 0.1386 0.0000 0.2772  3 Cu 2.91-2.97, 4 Pt 2.94

A plane-wave DFT calculation with PBE was carried out for crystalline ThScCuPt at its relaxed geometry.

Calculated values
For the formation enthalpy at 0 K, the calculation gives -0.619 eV/atom. The value obtained for the total magnetization is 0.0 μB/cell. The space-group type is F-43m, No. 216. The distance to the lowest polymorph of the same formula is 27 kJ/mol of formula units. Its volume is 84 Å³/cell.

a = 4.9207 Å, b = 4.9207 Å, c = 4.9207 Å
α = 60.00°, β = 60.00°, γ = 60.00°
Closest atoms and distances in Å follow each position.
Positions (direct):
Sc 0.0000 0.0000 0.0000  4 Cu 3.01, 4 Pt 3.01
Th 0.5000 0.5000 0.5000  4 Pt 3.01, 4 Cu 3.01
Pt 0.7500 0.7500 0.7500  4 Th 3.01, 4 Sc 3.01
Cu 0.2500 0.2500 0.2500  4 Th 3.01, 4 Sc 3.01

A plane-wave DFT calculation with PBE was carried out for crystalline TmScCuPt at its relaxed geometry.

Calculated values
For the formation enthalpy at 0 K, the calculation gives -0.800 eV/atom. The value obtained for the total magnetization is 0.0 μB/cell. The space-group type is F-43m, No. 216. Its volume is 76 Å³/cell.

a = 4.7507 Å, b = 4.7507 Å, c = 4.7507 Å
α = 60.00°, β = 60.00°, γ = 60.00°
Closest atoms and distances in Å follow each position.
Positions (direct):
Sc 0.5000 0.5000 0.5000  4 Cu 2.91, 4 Pt 2.91
Cu 0.2500 0.2500 0.2500  4 Tm 2.91, 4 Sc 2.91
Tm 0.0000 0.0000 0.0000  4 Cu 2.91, 4 Pt 2.91
Pt 0.7500 0.7500 0.7500  4 Sc 2.91, 4 Tm 2.91

A plane-wave DFT calculation with PBE was carried out for crystalline YScCuPt at its relaxed geometry.

Calculated values
For the formation enthalpy at 0 K, the calculation gives -0.757 eV/atom. The value obtained for the total magnetization is 0.0 μB/cell. The space-group type is Amm2, No. 38. Its volume is 81 Å³/cell.

a = 3.6179 Å, b = 4.3254 Å, c = 5.5101 Å
α = 90.00°, β = 109.17°, γ = 90.00°
Closest atoms and distances in Å follow each position.
Positions (direct):
Y 0.8573 0.5000 0.7147  3 Pt 2.87-2.95, 4 Cu 2.90
Cu 0.4237 0.0000 0.8475  2 Pt 2.71, 3 Sc 2.87-2.98, 4 Y 2.90
Sc 0.1376 0.0000 0.2751  3 Cu 2.87-2.98, 4 Pt 2.88
Pt 0.5814 0.5000 0.1627  2 Cu 2.71, 3 Y 2.87-2.95, 4 Sc 2.88

A plane-wave DFT calculation with PBE was carried out for crystalline Sc4ZnCuPt2 at its relaxed geometry.

Calculated values
For the formation enthalpy at 0 K, the calculation gives -0.822 eV/atom. The value obtained for the total magnetization is 0.0 μB/cell. The space-group type is R-3m, No. 166. Its volume is 144 Å³/cell.

a = 4.6668 Å, b = 4.6668 Å, c = 8.0881 Å
α = 73.23°, β = 73.23°, γ = 60.00°
Closest atoms and distances in Å follow each position.
Positions (direct):
Sc 0.8732 0.8732 0.3805  3 Cu 2.84, 4 Pt 2.86-2.89, 1 Zn 2.90
Sc 0.6230 0.6230 0.1310  1 Cu 2.81, 4 Pt 2.83-2.87, 3 Zn 2.87
Sc 0.3770 0.3770 0.8690  1 Cu 2.81, 4 Pt 2.83-2.87, 3 Zn 2.87
Sc 0.1268 0.1268 0.6195  3 Cu 2.84, 4 Pt 2.86-2.89, 1 Zn 2.90
Zn 0.0000 0.0000 0.0000  8 Sc 2.87-2.90
Pt 0.7483 0.7483 0.7551  8 Sc 2.83-2.89
Pt 0.2517 0.2517 0.2449  8 Sc 2.83-2.89
Cu 0.5000 0.5000 0.5000  8 Sc 2.81-2.84

A plane-wave DFT calculation with PBE was carried out for crystalline Sc4ZnCu2Pt at its relaxed geometry.

Calculated values
For the formation enthalpy at 0 K, the calculation gives -0.574 eV/atom. The value obtained for the total magnetization is 0.0 μB/cell. The space-group type is R-3m, No. 166. Its volume is 143 Å³/cell.

a = 4.6542 Å, b = 4.6542 Å, c = 8.0809 Å
α = 73.26°, β = 73.26°, γ = 60.00°
Closest atoms and distances in Å follow each position.
Positions (direct):
Sc 0.6228 0.6228 0.1317  4 Cu 2.78-2.80, 1 Pt 2.81, 3 Zn 2.87
Sc 0.1267 0.1267 0.6200  3 Pt 2.84, 1 Zn 2.90, 4 Cu 2.91-2.95
Sc 0.8733 0.8733 0.3800  3 Pt 2.84, 1 Zn 2.90, 4 Cu 2.91-2.95
Sc 0.3772 0.3772 0.8683  4 Cu 2.78-2.80, 1 Pt 2.81, 3 Zn 2.87
Cu 0.2557 0.2557 0.2330  8 Sc 2.78-2.95
Cu 0.7443 0.7443 0.7670  8 Sc 2.78-2.95
Zn 0.0000 0.0000 0.0000  8 Sc 2.87-2.90
Pt 0.5000 0.5000 0.5000  8 Sc 2.81-2.84

A plane-wave DFT calculation with PBE was carried out for crystalline CuPt2Se at its relaxed geometry.

Calculated values
The value obtained for the total magnetization is 0.0 μB/cell. The space-group type is F-43m, No. 216. The raw formation energy comes out at 226 meV/atom. Its volume is 63 Å³/cell.

a = 4.4763 Å, b = 4.4763 Å, c = 4.4763 Å
α = 60.00°, β = 60.00°, γ = 60.00°
Closest atoms and distances in Å follow each position.
Positions (direct):
Se 0.7500 0.7500 0.7500  4 Cu 2.74, 4 Pt 2.74
Cu 0.5000 0.5000 0.5000  4 Se 2.74, 4 Pt 2.74
Pt 0.0000 0.0000 0.0000  4 Se 2.74, 4 Pt 2.74
Pt 0.2500 0.2500 0.2500  4 Cu 2.74, 4 Pt 2.74

A plane-wave DFT calculation with PBE was carried out for crystalline CuPt2Se at its relaxed geometry.

Calculated values
The value obtained for the total magnetization is 0.0 μB/cell. The space-group type is Pmmm, No. 47. The raw formation energy comes out at 31 meV/atom. Its volume is 65 Å³/cell.

a = 4.1204 Å, b = 2.7889 Å, c = 5.6144 Å
α = 89.99°, β = 90.00°, γ = 90.00°
Closest atoms and distances in Å follow each position.
Positions (direct):
Cu 0.5000 0.7500 0.7500  2 Cu 2.79, 8 Pt 2.82
Pt 0.0000 0.2500 0.5144  2 Se 2.54, 3 Pt 2.65-2.79, 4 Cu 2.82
Pt 0.0000 0.2500 0.9856  2 Se 2.54, 3 Pt 2.65-2.79, 4 Cu 2.82
Se 0.5000 0.2500 0.2500  4 Pt 2.54, 2 Se 2.79

A plane-wave DFT calculation with PBE was carried out for crystalline CuPt2Se at its relaxed geometry.

Calculated values
The value obtained for the total magnetization is 0.0 μB/cell. The space-group type is I-42d, No. 122. The raw formation energy comes out at 82 meV/atom. Its volume is 133 Å³/cell.

a = 3.9049 Å, b = 3.9049 Å, c = 9.1749 Å
α = 77.71°, β = 77.71°, γ = 90.00°
Closest atoms and distances in Å follow each position.
Positions (direct):
Pt 0.3750 0.3733 0.7500  2 Se 2.58, 2 Cu 2.59, 4 Pt 2.75-2.77
Pt 0.8750 0.8767 0.7500  2 Se 2.58, 2 Cu 2.59, 4 Pt 2.75-2.77
Pt 0.1233 0.6250 0.2500  2 Se 2.58, 2 Cu 2.59, 4 Pt 2.75-2.77
Pt 0.6267 0.1250 0.2500  2 Se 2.58, 2 Cu 2.59, 4 Pt 2.75-2.77
Cu 0.5000 0.5000 0.0000  4 Pt 2.59, 4 Se 2.76
Cu 0.2500 0.7500 0.5000  4 Pt 2.59, 4 Se 2.76
Se 0.7500 0.2500 0.5000  4 Pt 2.58, 4 Cu 2.76
Se 0.0000 0.0000 0.0000  4 Pt 2.58, 4 Cu 2.76

A plane-wave DFT calculation with PBE was carried out for crystalline CuPt2Se at its relaxed geometry.

Calculated values
The value obtained for the total magnetization is 0.0 μB/cell. The space-group type is Pmm2, No. 25. The raw formation energy comes out at 74 meV/atom. Its volume is 63 Å³/cell.

a = 4.6470 Å, b = 2.9894 Å, c = 4.5161 Å
α = 90.01°, β = 90.00°, γ = 90.00°
Closest atoms and distances in Å follow each position.
Positions (direct):
Cu 0.5000 0.8752 0.7354  6 Pt 2.65-2.71, 4 Se 2.94
Pt 0.0000 0.8750 0.0164  2 Cu 2.65, 4 Se 2.70-2.72, 4 Pt 2.93
Pt 0.5000 0.3750 0.2347  2 Se 2.64, 4 Cu 2.70-2.71, 4 Pt 2.93
Se 0.0000 0.3748 0.5135  6 Pt 2.64-2.72, 4 Cu 2.94

A plane-wave DFT calculation with PBE was carried out for crystalline Cu2PtSe4 at its relaxed geometry.

Calculated values
The value obtained for the total magnetization is 0.0 μB/cell. The space-group type is Imma, No. 74. The raw formation energy comes out at -202 meV/atom. Its volume is 287 Å³/cell.

a = 7.4447 Å, b = 7.4828 Å, c = 7.4828 Å
α = 56.44°, β = 60.17°, γ = 60.17°
Closest atoms and distances in Å follow each position.
Positions (direct):
Cu 0.5000 0.0000 0.0000  6 Se 2.47-2.65
Cu 0.1025 0.1475 0.6475  4 Se 2.40-2.47
Cu 0.8975 0.8525 0.3525  4 Se 2.40-2.47
Cu 0.5000 0.5000 0.5000  6 Se 2.47-2.65
Se 0.2513 0.2685 0.7685  3 Cu 2.40-2.47, 1 Pt 2.52
Se 0.7116 0.2685 0.7685  3 Cu 2.40-2.47, 1 Pt 2.52
Se 0.7439 0.7491 0.7632  2 Cu 2.47-2.65, 2 Pt 2.53
Se 0.2884 0.7315 0.2315  3 Cu 2.40-2.47, 1 Pt 2.52
Se 0.2561 0.7368 0.7509  2 Cu 2.47-2.65, 2 Pt 2.53
Se 0.7439 0.2632 0.2491  2 Cu 2.47-2.65, 2 Pt 2.53
Se 0.7487 0.7315 0.2315  3 Cu 2.40-2.47, 1 Pt 2.52
Se 0.2561 0.2509 0.2368  2 Cu 2.47-2.65, 2 Pt 2.53
Pt 0.5000 0.5000 0.0000  6 Se 2.52-2.53
Pt 0.0000 0.5000 0.0000  6 Se 2.52-2.53

A plane-wave DFT calculation with PBE was carried out for crystalline CuPt2Se at its relaxed geometry.

Calculated values
The value obtained for the total magnetization is 0.0 μB/cell. The space-group type is I-4m2, No. 119. The raw formation energy comes out at 138 meV/atom. Its volume is 62 Å³/cell.

a = 4.9214 Å, b = 4.9214 Å, c = 4.9214 Å
α = 133.11°, β = 133.11°, γ = 68.48°
Closest atoms and distances in Å follow each position.
Positions (direct):
Pt 0.2500 0.7500 0.5000  4 Cu 2.77, 4 Se 2.82, 4 Pt 2.82
Pt 0.0000 0.0000 0.0000  4 Se 2.77, 4 Cu 2.82, 4 Pt 2.82
Cu 0.7500 0.2500 0.5000  8 Pt 2.77-2.82, 4 Se 2.82
Se 0.5000 0.5000 0.0000  8 Pt 2.77-2.82, 4 Cu 2.82

A plane-wave DFT calculation with PBE was carried out for crystalline CuPt2Se at its relaxed geometry.

Calculated values
The value obtained for the total magnetization is 0.0 μB/cell. The space-group type is P4/mmm, No. 123. The raw formation energy comes out at 78 meV/atom. Its volume is 62 Å³/cell.

a = 3.0646 Å, b = 3.0646 Å, c = 6.5885 Å
α = 90.00°, β = 90.00°, γ = 90.00°
Closest atoms and distances in Å follow each position.
Positions (direct):
Pt 0.0000 0.0000 0.5167  4 Cu 2.66, 4 Se 2.79
Pt 0.0000 0.0000 0.9833  4 Cu 2.66, 4 Se 2.79
Se 0.5000 0.5000 0.2500  8 Pt 2.79, 4 Se 3.06
Cu 0.5000 0.5000 0.7500  8 Pt 2.66

A plane-wave DFT calculation with PBE was carried out for crystalline CuPt2Se at its relaxed geometry.

Calculated values
The value obtained for the total magnetization is 0.0 μB/cell. The space-group type is C2/m, No. 12. The raw formation energy comes out at 80 meV/atom. Its volume is 63 Å³/cell.

a = 4.5537 Å, b = 4.5537 Å, c = 4.8501 Å
α = 78.58°, β = 78.58°, γ = 39.52°
Closest atoms and distances in Å follow each position.
Positions (direct):
Pt 0.5004 0.5004 0.4956  3 Cu 2.66-2.70, 3 Se 2.69-2.72, 4 Pt 2.84-2.91
Pt 0.9996 0.9996 0.0044  3 Cu 2.66-2.70, 3 Se 2.69-2.72, 4 Pt 2.84-2.91
Cu 0.2500 0.2500 0.2500  6 Pt 2.66-2.70, 4 Se 2.87
Se 0.7500 0.7500 0.7500  6 Pt 2.69-2.72, 4 Cu 2.87